Material: Al3CrW
Method: DFT, PBE
State: relaxed

Output
magnetic moment = 1.698 μB per formula unit
excess energy over the best structure of this formula in the dataset = 0.000 eV/atom

Cell: 4.4405 4.4405 4.4405 Å, 90.00 90.00 90.00°
Space group Pm-3m (No. 221)
Unique sites:
Al 0.0000 0.0000 0.5000 [3 per cell]
Cr 0.0000 0.0000 0.0000 [1 per cell]
W 0.5000 0.5000 0.5000 [1 per cell]

Material: La4In2Br5
Method: DFT, PBE
State: relaxed

Output
magnetic moment = 0.000 μB per formula unit
raw formation energy = -1249 meV/atom

Cell: 25.8351 4.1694 9.0086 Å, 90.00 104.13 90.00°
Space group C2/m (No. 12)
Unique sites:
La 0.0136 0.0000 0.2682 [4 per cell]
La 0.1652 0.5000 0.4652 [4 per cell]
In 0.0580 0.5000 0.5645 [4 per cell]
Br 0.0000 0.5000 0.0000 [2 per cell]
Br 0.1291 0.0000 0.2193 [4 per cell]
Br 0.2318 0.0000 0.6742 [4 per cell]

Material: TbIn2Sb
Method: DFT, PBE
State: relaxed

Output
magnetic moment = 0.000 μB per formula unit
excess energy over the best structure of this formula in the dataset = 0.605 eV/atom
raw formation energy = 158 meV/atom

Cell: 3.5294 3.5294 33.8705 Å, 90.00 90.00 120.00°
Space group R-3m (No. 166, hexagonal axes)
Unique sites:
Tb 0.0000 0.0000 0.0000 [3 per cell]
In 0.0000 0.0000 0.0932 [6 per cell]
Sb 0.0000 0.0000 0.5000 [3 per cell]